# 1
VASP calculation (PBE-GGA) on RbV4S8 after structural relaxation.

Geometry as POSCAR:
```
RbV4S8
1.0
8.317 -1.672 0.000
8.317 1.672 0.000
-7.496 0.000 8.819
Rb V S
1 4 8
Cartesian
0.000 0.000 0.000 Rb
-1.031 0.000 4.253 V
4.409 0.000 1.377 V
4.728 0.000 7.442 V
10.168 0.000 4.565 V
-4.886 0.000 6.473 S
-2.014 0.000 8.130 S
0.676 0.000 5.856 S
3.119 0.000 3.564 S
6.018 0.000 5.254 S
8.461 0.000 2.963 S
11.151 0.000 0.689 S
14.023 0.000 2.345 S
```

## Properties
Distance to the lowest polymorph of the same formula: 0 meV per atom
E_tot: -82.1 eV for the cell shown
Crystal system: monoclinic
Mass density: 3.7 Mg/m³
Formation energy (no corrections): -0.894 eV/atom
Fermi-level density of states: 7.018 states/eV/f.u.


# 2
VASP calculation (PBE-GGA) on Nb6AlV after structural relaxation.

Geometry as POSCAR:
```
Nb6AlV
1.0
3.338 -4.586 0.000
3.338 4.586 0.000
0.000 0.000 4.552
Nb Al V
6 1 1
Cartesian
1.669 2.293 2.276 Nb
3.338 2.375 0.000 Nb
1.810 0.000 0.000 Nb
1.669 -2.293 2.276 Nb
4.866 0.000 0.000 Nb
3.338 -2.375 0.000 Nb
0.000 0.000 2.276 Al
3.338 0.000 2.276 V
```

## Properties
Distance to the lowest polymorph of the same formula: 35 meV per atom
E_tot: -73.8 eV for the cell shown
Crystal system: orthorhombic
Calculated formation energy: -0.07 eV per atom
Mass density: 7.6 Mg/m³
Fermi-level density of states: 11.133 states/eV/f.u.


# 3
VASP calculation (PBE-GGA) on BiN2O after structural relaxation.

Geometry as POSCAR:
```
BiN2O
1.0
0.000 2.855 2.855
2.855 0.000 2.855
2.855 2.855 0.000
Bi N O
1 2 1
Cartesian
0.000 0.000 0.000 Bi
1.427 1.427 1.427 N
4.282 4.282 4.282 N
2.855 2.855 2.855 O
```

## Properties
Distance to the lowest polymorph of the same formula: 2037 meV per atom
E_tot: -18.0 eV for the cell shown
Crystal system: cubic
Mass density: 9.0 Mg/m³
Formation energy (no corrections): 1.871 eV/atom
Fermi-level density of states: 2.049 states/eV/f.u.


# 4
VASP calculation (PBE-GGA) on Sr4Zn after structural relaxation.

Geometry as POSCAR:
```
Sr4Zn
1.0
-2.024 2.024 13.498
2.024 -2.024 13.498
2.024 2.024 -13.498
Sr Zn
4 1
Cartesian
0.000 0.000 1.869 Sr
0.000 0.000 8.366 Sr
0.000 0.000 18.631 Sr
0.000 0.000 25.127 Sr
0.000 0.000 13.498 Zn
```

## Properties
Distance to the lowest polymorph of the same formula: 0 meV per atom
E_tot: -8.4 eV for the cell shown
Crystal system: tetragonal
Calculated formation energy: -0.07 eV per atom
Mass density: 3.1 Mg/m³
Fermi-level density of states: 4.838 states/eV/f.u.


# 5
VASP calculation (PBE-GGA) on PtCSe2 after structural relaxation.

Geometry as POSCAR:
```
PtCSe2
1.0
-2.711 2.711 5.064
2.711 -2.711 5.064
2.711 2.711 -5.064
Pt C Se
2 2 4
Cartesian
0.000 0.000 0.000 Pt
0.000 2.711 2.532 Pt
2.711 0.000 2.532 C
0.000 0.000 5.064 C
1.356 -1.080 3.798 Se
1.632 1.356 1.266 Se
1.356 3.791 -1.266 Se
1.080 1.356 6.330 Se
```

## Properties
E_tot: -37.6 eV for the cell shown
Crystal system: tetragonal
Mass density: 8.1 Mg/m³
Formation energy (no corrections): 0.853 eV/atom
Fermi-level density of states: 1.175 states/eV/f.u.


# 6
VASP calculation (PBE-GGA) on LaSI2N after structural relaxation.

Geometry as POSCAR:
```
LaSI2N
1.0
6.591 0.000 0.000
0.000 6.591 0.000
0.000 0.000 4.140
La S I N
1 1 2 1
Cartesian
0.000 0.000 0.000 La
3.295 3.295 2.070 S
0.000 3.295 0.000 I
3.295 0.000 0.000 I
0.000 0.000 2.070 N
```

## Properties
Distance to the lowest polymorph of the same formula: 57 meV per atom
E_tot: -19.4 eV for the cell shown
Crystal system: tetragonal
Mass density: 4.1 Mg/m³
Formation energy (no corrections): 0.214 eV/atom
Fermi-level density of states: 5.588 states/eV/f.u.


# 7
VASP calculation (PBE-GGA) on TaMoW2 after structural relaxation.

Geometry as POSCAR:
```
TaMoW2
1.0
-1.602 2.256 4.555
1.602 -2.256 4.555
1.602 2.256 -4.555
Ta Mo W
1 1 2
Cartesian
0.000 0.000 0.000 Ta
0.000 0.000 4.555 Mo
1.602 0.000 2.310 W
0.000 2.256 2.245 W
```

## Properties
Distance to the lowest polymorph of the same formula: 0 meV per atom
E_tot: -49.1 eV for the cell shown
Crystal system: orthorhombic
Calculated formation energy: -0.13 eV per atom
Mass density: 16.3 Mg/m³
Fermi-level density of states: 1.467 states/eV/f.u.


# 8
VASP calculation (PBE-GGA) on B2SbPC after structural relaxation.

Geometry as POSCAR:
```
B2SbPC
1.0
3.651 0.000 0.000
0.000 3.651 0.000
0.000 0.000 5.753
B Sb P C
2 1 1 1
Cartesian
0.000 1.826 0.000 B
1.826 0.000 0.000 B
0.000 0.000 2.877 Sb
0.000 0.000 0.000 P
1.826 1.826 2.877 C
```

## Properties
E_tot: -22.2 eV for the cell shown
Crystal system: tetragonal
Mass density: 4.0 Mg/m³
Formation energy (no corrections): 1.991 eV/atom
Fermi-level density of states: 2.798 states/eV/f.u.


# 9
VASP calculation (PBE-GGA) on Th2Ge3Ir4Ru after structural relaxation.

Geometry as POSCAR:
```
Th2Ge3Ir4Ru
1.0
4.223 0.000 0.000
0.000 4.223 0.000
0.000 0.000 10.476
Th Ge Ir Ru
2 3 4 1
Cartesian
0.000 2.112 2.575 Th
2.112 0.000 7.901 Th
0.000 2.112 9.094 Ge
2.112 0.000 1.382 Ge
2.112 2.112 5.238 Ge
0.000 0.000 0.000 Ir
0.000 2.112 6.632 Ir
2.112 0.000 3.844 Ir
2.112 2.112 0.000 Ir
0.000 0.000 5.238 Ru
```

## Properties
E_tot: -80.2 eV for the cell shown
Crystal system: tetragonal
Calculated formation energy: -0.68 eV per atom
Mass density: 13.8 Mg/m³
Fermi-level density of states: 5.961 states/eV/f.u.


# 10
VASP calculation (PBE-GGA) on TiMn2Mo after structural relaxation.

Geometry as POSCAR:
```
TiMn2Mo
1.0
0.000 2.977 2.977
2.977 0.000 2.977
2.977 2.977 0.000
Ti Mn Mo
1 2 1
Cartesian
0.000 0.000 0.000 Ti
1.488 1.488 1.488 Mn
4.465 4.465 4.465 Mn
2.977 2.977 2.977 Mo
```

## Properties
Distance to the lowest polymorph of the same formula: 0 meV per atom
E_tot: -37.8 eV for the cell shown
Crystal system: cubic
Calculated formation energy: -0.20 eV per atom
Mass density: 8.0 Mg/m³
Fermi-level density of states: 0.933 states/eV/f.u.


# 11
VASP calculation (PBE-GGA) on Cs2CdH6Au after structural relaxation.

Geometry as POSCAR:
```
Cs2CdH6Au
1.0
-3.014 3.014 4.912
3.014 -3.014 4.912
3.014 3.014 -4.912
Cs Cd H Au
2 1 6 1
Cartesian
3.014 0.000 2.456 Cs
0.000 3.014 2.456 Cs
0.000 0.000 0.000 Cd
0.000 0.000 1.767 H
1.787 1.787 0.000 H
1.227 -1.227 4.912 H
-1.227 1.227 4.912 H
1.227 1.227 4.912 H
0.000 0.000 8.058 H
0.000 0.000 4.912 Au
```

## Properties
E_tot: -26.7 eV for the cell shown
Crystal system: tetragonal
Mass density: 5.4 Mg/m³
Fermi-level density of states: 3.580 states/eV/f.u.


# 12
VASP calculation (PBE-GGA) on AcTbHoPu after structural relaxation.

Geometry as POSCAR:
```
AcTbHoPu
1.0
0.000 4.086 4.086
4.086 0.000 4.086
4.086 4.086 0.000
Ac Tb Ho Pu
1 1 1 1
Cartesian
0.000 0.000 0.000 Ac
6.129 6.129 6.129 Tb
2.043 2.043 2.043 Ho
4.086 4.086 4.086 Pu
```

## Properties
E_tot: -26.6 eV for the cell shown
Crystal system: cubic
Calculated formation energy: 0.26 eV per atom
Mass density: 9.7 Mg/m³
Fermi-level density of states: 14.752 states/eV/f.u.


# 13
VASP calculation (PBE-GGA) on RbHfB after structural relaxation.

Geometry as POSCAR:
```
RbHfB
1.0
4.533 0.000 0.000
1.234 4.362 0.000
0.909 0.703 11.393
Rb Hf B
2 2 2
Cartesian
0.000 0.000 0.000 Rb
2.710 2.068 4.708 Rb
0.888 0.688 7.893 Hf
4.270 3.246 8.097 Hf
2.052 2.636 8.613 B
3.079 1.277 8.613 B
```

## Properties
Distance to the lowest polymorph of the same formula: 264 meV per atom
E_tot: -33.3 eV for the cell shown
Crystal system: triclinic
Calculated formation energy: 0.31 eV per atom
Mass density: 4.1 Mg/m³
Fermi-level density of states: 1.881 states/eV/f.u.


# 14
VASP calculation (PBE-GGA) on Zr2OsRu after structural relaxation.

Geometry as POSCAR:
```
Zr2OsRu
1.0
4.267 -1.584 0.000
4.267 1.584 0.000
-1.138 0.000 5.409
Zr Os Ru
2 1 1
Cartesian
1.848 0.000 1.347 Zr
5.547 0.000 4.062 Zr
4.267 0.000 0.000 Os
-0.569 0.000 2.705 Ru
```

## Properties
E_tot: -37.9 eV for the cell shown
Crystal system: monoclinic
Calculated formation energy: -0.09 eV per atom
Mass density: 10.8 Mg/m³
Fermi-level density of states: 3.458 states/eV/f.u.